# 1
Sm8YGa6 | PBE | optimized geometry Values from VASP.

Cell and atoms, written as Quantum ESPRESSO input:
```
&SYSTEM
  ibrav = 0, nat = 15, ntyp = 3
/
ATOMIC_SPECIES
Sm 150.36 Sm.upf
Ga 69.72 Ga.upf
Y 88.91 Y.upf
CELL_PARAMETERS angstrom
8.779 0.000 0.000
4.389 7.603 0.000
4.389 2.534 6.265
ATOMIC_POSITIONS angstrom
Sm 7.323 7.609 2.116
Sm 8.779 5.068 0.018
Sm 10.234 2.528 4.149
Sm 11.706 5.058 2.116
Sm 8.779 5.068 6.247
Sm 7.306 2.538 2.116
Sm 5.851 5.078 4.149
Sm 10.251 7.599 4.149
Ga 10.226 2.504 1.066
Ga 11.723 5.039 5.200
Ga 7.281 2.533 5.200
Ga 10.276 7.603 1.066
Ga 5.835 5.097 1.066
Ga 7.332 7.633 5.200
Y 0.000 0.000 0.000
```

Computed properties:
Space group: No. 148
Calculated total energy in eV/atom: -4.522

=====

# 2
Sm2YGa | PBE | optimized geometry Values from VASP.

Cell and atoms, written as Quantum ESPRESSO input:
```
&SYSTEM
  ibrav = 0, nat = 8, ntyp = 3
/
ATOMIC_SPECIES
Sm 150.36 Sm.upf
Y 88.91 Y.upf
Ga 69.72 Ga.upf
CELL_PARAMETERS angstrom
-3.323 -1.401 0.852
4.012 -1.531 5.081
-2.424 8.466 4.465
ATOMIC_POSITIONS angstrom
Sm -0.597 6.430 8.253
Sm -1.138 -0.896 2.145
Sm -2.114 2.512 3.942
Sm 0.379 3.022 6.456
Y -0.177 -0.566 6.434
Y -1.558 6.100 3.964
Ga -2.340 4.563 6.453
Ga 0.605 0.971 3.945
```

Computed properties:
Space group: No. 11
Energy relative to the lowest polymorph listed for this composition in eV per atom: 0.000

=====

# 3
Sm2YGa | PBE | optimized geometry Values from VASP.

Cell and atoms, written as Quantum ESPRESSO input:
```
&SYSTEM
  ibrav = 0, nat = 4, ntyp = 3
/
ATOMIC_SPECIES
Y 88.91 Y.upf
Sm 150.36 Sm.upf
Ga 69.72 Ga.upf
CELL_PARAMETERS angstrom
-0.061 -3.989 -2.765
4.621 -0.697 0.903
-1.139 -2.621 3.806
ATOMIC_POSITIONS angstrom
Y -0.030 -1.995 -1.383
Sm -0.570 -1.310 1.903
Sm 2.310 -0.348 0.452
Ga 1.710 -3.653 0.972
```

Computed properties:
Space group: No. 123
Energy relative to the lowest polymorph listed for this composition in eV per atom: 0.036

=====

# 4
SmYGa4 | PBE | optimized geometry Values from VASP.

Cell and atoms, written as Quantum ESPRESSO input:
```
&SYSTEM
  ibrav = 0, nat = 6, ntyp = 3
/
ATOMIC_SPECIES
Ga 69.72 Ga.upf
Y 88.91 Y.upf
Sm 150.36 Sm.upf
CELL_PARAMETERS angstrom
4.011 0.000 -1.238
-0.382 3.993 -1.238
0.257 0.283 7.946
ATOMIC_POSITIONS angstrom
Ga 3.386 1.519 3.852
Ga 2.696 0.760 1.618
Ga 2.156 2.372 -0.133
Ga 1.730 1.904 5.602
Y 0.000 0.000 0.000
Sm 0.844 3.136 2.735
```

Computed properties:
Space group: No. 119
Energy relative to the lowest polymorph listed for this composition in eV per atom: 0.012

=====

# 5
SmY4Ga4 | PBE | optimized geometry Values from VASP.

Cell and atoms, written as Quantum ESPRESSO input:
```
&SYSTEM
  ibrav = 0, nat = 18, ntyp = 3
/
ATOMIC_SPECIES
Y 88.91 Y.upf
Ga 69.72 Ga.upf
Sm 150.36 Sm.upf
CELL_PARAMETERS angstrom
5.955 0.000 0.000
0.000 9.145 0.000
0.000 0.000 9.145
ATOMIC_POSITIONS angstrom
Y 2.265 2.935 8.301
Y 3.690 8.301 6.210
Y 0.713 7.507 3.729
Y 5.242 5.417 7.507
Y 0.713 1.638 5.417
Y 3.690 0.844 2.935
Y 2.265 6.210 0.844
Y 5.242 3.729 1.638
Ga 0.773 7.916 6.629
Ga 3.750 7.088 3.344
Ga 0.773 1.229 2.516
Ga 5.183 2.516 7.916
Ga 3.750 2.057 5.801
Ga 5.183 6.629 1.229
Ga 2.205 5.801 7.088
Ga 2.205 3.344 2.057
Sm 2.978 4.573 4.573
Sm 0.000 0.000 0.000
```

Computed properties:
Space group: No. 86
Calculated total energy in eV/atom: -5.132

=====

# 6
SmY2Ga6 | PBE | optimized geometry Values from VASP.

Cell and atoms, written as Quantum ESPRESSO input:
```
&SYSTEM
  ibrav = 0, nat = 9, ntyp = 3
/
ATOMIC_SPECIES
Ga 69.72 Ga.upf
Y 88.91 Y.upf
Sm 150.36 Sm.upf
CELL_PARAMETERS angstrom
4.333 0.000 0.000
2.167 7.443 1.130
2.167 3.220 6.805
ATOMIC_POSITIONS angstrom
Ga 2.167 4.187 1.416
Ga 2.167 6.659 2.183
Ga 2.167 4.004 5.752
Ga 6.500 8.105 4.331
Ga 6.500 6.476 6.520
Ga 2.167 2.559 3.604
Y 2.167 1.351 1.005
Y 6.500 9.312 6.930
Sm 4.333 5.332 3.968
```

Computed properties:
Space group: No. 71
Energy relative to the lowest polymorph listed for this composition in eV per atom: 0.178